[1]
Material: Cd2MoN
Method: DFT, PBE
State: relaxed

Cell: 8.843 8.843 3.942 Å, 90.00 90.00 90.00°
Space group I-42d (No. 122)
Inequivalent atoms, fractional coordinates:
Cd1 0.133 0.250 0.125 (multiplicity 8)
Mo1 0.000 0.000 0.500 (multiplicity 4)
N1 0.000 0.000 0.000 (multiplicity 4)

ΔE_f (raw): 14.5 kcal/mol of atoms
Fermi-level density of states: 2.20 states/eV/f.u.



[2]
Material: BiPAuS
Method: DFT, PBE
State: relaxed

Cell: 7.024 4.051 7.139 Å, 90.00 108.63 90.00°
Space group Cm (No. 8)
Inequivalent atoms, fractional coordinates:
Bi1 0.000 0.000 0.000 (multiplicity 2)
P1 0.465 0.000 0.404 (multiplicity 2)
Au1 0.255 0.500 0.272 (multiplicity 2)
S1 0.071 0.500 0.712 (multiplicity 2)

ΔE_f (raw): -0.4 kcal/mol of atoms
Offset from the most stable computed form: 27.9 meV per atom
Fermi-level density of states: 1.46 states/eV/f.u.



[3]
Material: MgAsOs2
Method: DFT, PBE
State: relaxed

Cell: 9.542 2.922 5.005 Å, 90.00 115.61 90.00°
Space group Cm (No. 8)
Inequivalent atoms, fractional coordinates:
Mg1 0.000 0.000 0.000 (multiplicity 2)
As1 0.293 0.500 0.372 (multiplicity 2)
Os1 0.041 0.500 0.512 (multiplicity 2)
Os2 0.252 0.000 0.933 (multiplicity 2)

Offset from the most stable computed form: 72.2 meV per atom
Energy of formation from the pure elements: 0.207 eV/atom
Fermi-level density of states: 2.85 states/eV/f.u.



[4]
Material: EuYSnHg
Method: DFT, PBE
State: relaxed

Cell: 7.650 7.650 7.650 Å, 90.00 90.00 90.00°
Space group F-43m (No. 216)
Inequivalent atoms, fractional coordinates:
Eu1 0.000 0.000 0.000 (multiplicity 4)
Y1 0.000 0.000 0.500 (multiplicity 4)
Sn1 0.250 0.250 0.750 (multiplicity 4)
Hg1 0.250 0.250 0.250 (multiplicity 4)

Energy of formation from the pure elements: -0.596 eV/atom
Fermi-level density of states: 2.91 states/eV/f.u.



[5]
Material: K2TaHgO4
Method: DFT, PBE
State: relaxed

Cell: 6.601 6.601 7.564 Å, 90.00 90.00 90.00°
Space group I-4 (No. 82)
Inequivalent atoms, fractional coordinates:
K1 0.000 0.000 0.000 (multiplicity 2)
K2 0.000 0.500 0.250 (multiplicity 2)
Ta1 0.000 0.000 0.500 (multiplicity 2)
Hg1 0.000 0.500 0.750 (multiplicity 2)
O1 0.161 0.169 0.643 (multiplicity 8)

ΔE_f (raw): -41.9 kcal/mol of atoms
Fermi-level density of states: 4.50 states/eV/f.u.



[6]
Material: SmPb2ClO4
Method: DFT, PBE
State: relaxed

Cell: 4.033 4.033 8.902 Å, 90.00 90.00 90.00°
Space group P4/mmm (No. 123)
Inequivalent atoms, fractional coordinates:
Sm1 0.000 0.000 0.000 (multiplicity 1)
Pb1 0.500 0.500 0.276 (multiplicity 2)
Cl1 0.000 0.000 0.500 (multiplicity 1)
O1 0.000 0.500 0.153 (multiplicity 4)

ΔE_f (raw): -38.4 kcal/mol of atoms
Fermi-level density of states: 3.61 states/eV/f.u.



[7]
Material: Rb2Sc2AlTe6
Method: DFT, PBE
State: relaxed

Cell: 7.133 12.397 9.267 Å, 90.00 105.66 90.00°
Space group C2/m (No. 12)
Inequivalent atoms, fractional coordinates:
Rb1 0.000 0.169 0.000 (multiplicity 4)
Sc1 0.000 0.331 0.500 (multiplicity 4)
Al1 0.000 0.000 0.500 (multiplicity 2)
Te1 0.230 0.160 0.688 (multiplicity 8)
Te2 0.241 0.500 0.684 (multiplicity 4)

ΔE_f (raw): -21.9 kcal/mol of atoms
Fermi-level density of states: 3.87 states/eV/f.u.



[8]
Material: Tb4NdIn
Method: DFT, PBE
State: relaxed

Cell: 3.605 3.605 14.363 Å, 90.00 90.00 90.00°
Space group P4/mmm (No. 123)
Inequivalent atoms, fractional coordinates:
Tb1 0.000 0.000 0.146 (multiplicity 2)
Tb2 0.500 0.500 0.321 (multiplicity 2)
Nd1 0.000 0.000 0.500 (multiplicity 1)
In1 0.500 0.500 0.000 (multiplicity 1)

Offset from the most stable computed form: 0.0 meV per atom
Energy of formation from the pure elements: -0.147 eV/atom
Fermi-level density of states: 7.37 states/eV/f.u.



[9]
Material: InTcCl3
Method: DFT, PBE
State: relaxed

Cell: 5.332 5.332 5.332 Å, 90.00 90.00 90.00°
Space group Pm-3m (No. 221)
Inequivalent atoms, fractional coordinates:
In1 0.000 0.000 0.000 (multiplicity 1)
Tc1 0.500 0.500 0.500 (multiplicity 1)
Cl1 0.000 0.000 0.500 (multiplicity 3)

ΔE_f (raw): 7.1 kcal/mol of atoms
Offset from the most stable computed form: 670.1 meV per atom
Fermi-level density of states: 6.24 states/eV/f.u.



[10]
Material: LiZn2Ag
Method: DFT, PBE
State: relaxed

Cell: 2.796 4.383 5.139 Å, 90.00 97.78 90.00°
Space group Pm (No. 6)
Inequivalent atoms, fractional coordinates:
Li1 0.000 0.000 0.000 (multiplicity 1)
Zn1 0.593 0.000 0.485 (multiplicity 1)
Zn2 0.625 0.500 0.209 (multiplicity 1)
Ag1 0.197 0.500 0.711 (multiplicity 1)

Energy of formation from the pure elements: -0.137 eV/atom
Fermi-level density of states: 0.58 states/eV/f.u.



[11]
Material: ErPaC2
Method: DFT, PBE
State: relaxed

Cell: 3.5765 3.5765 17.7181 Å, 90.00 90.00 120.00°
Space group R3m (No. 160, hexagonal axes)
Inequivalent atoms, fractional coordinates:
Er1 0.0000 0.0000 0.0000 (multiplicity 3)
Pa1 0.0000 0.0000 0.1694 (multiplicity 3)
C1 0.0000 0.0000 0.5789 (multiplicity 3)
C2 0.0000 0.0000 0.7609 (multiplicity 3)

Offset from the most stable computed form: 193.7 meV per atom
Energy of formation from the pure elements: -0.235 eV/atom
Fermi-level density of states: 0.52 states/eV/f.u.



[12]
Material: CeBO3
Method: DFT, PBE
State: relaxed

Cell: 4.130 5.108 6.356 Å, 90.00 108.36 90.00°
Space group P2_1/m (No. 11)
Inequivalent atoms, fractional coordinates:
Ce1 0.115 0.250 0.277 (multiplicity 2)
B1 0.499 0.750 0.244 (multiplicity 2)
O1 0.164 0.750 0.109 (multiplicity 2)
O2 0.343 0.016 0.673 (multiplicity 4)

ΔE_f (raw): -68.5 kcal/mol of atoms
Fermi-level density of states: 4.54 states/eV/f.u.



[13]
Material: CaFeCo2
Method: DFT, PBE
State: relaxed

Cell: 4.0124 4.0124 15.0468 Å, 90.00 90.00 120.00°
Space group R-3m (No. 166, hexagonal axes)
Inequivalent atoms, fractional coordinates:
Ca1 0.0000 0.0000 0.0000 (multiplicity 3)
Fe1 0.0000 0.0000 0.5000 (multiplicity 3)
Co1 0.0000 0.0000 0.1900 (multiplicity 6)

Offset from the most stable computed form: 0.0 meV per atom
Energy of formation from the pure elements: 0.152 eV/atom
Fermi-level density of states: 4.50 states/eV/f.u.



[14]
Material: ThAl3ZnPd
Method: DFT, PBE
State: relaxed

Cell: 5.879 13.834 5.750 Å, 90.00 90.00 90.00°
Space group Cmcm (No. 63)
Inequivalent atoms, fractional coordinates:
Th1 0.000 0.200 0.250 (multiplicity 4)
Al1 0.000 0.368 0.750 (multiplicity 4)
Al2 0.219 0.000 0.000 (multiplicity 8)
Zn1 0.000 0.148 0.750 (multiplicity 4)
Pd1 0.000 0.404 0.250 (multiplicity 4)

Energy of formation from the pure elements: -0.322 eV/atom
Fermi-level density of states: 2.78 states/eV/f.u.



[15]
Material: Tb2Nd3Tl4
Method: DFT, PBE
State: relaxed

Cell: 9.355 5.398 10.597 Å, 90.00 90.01 90.00°
Space group C2/m (No. 12)
Inequivalent atoms, fractional coordinates:
Tb1 0.167 0.000 0.279 (multiplicity 4)
Nd1 0.000 0.500 0.500 (multiplicity 2)
Nd2 0.167 0.000 0.921 (multiplicity 4)
Tl1 0.000 0.500 0.156 (multiplicity 4)
Tl2 0.168 0.000 0.602 (multiplicity 4)

Offset from the most stable computed form: 0.0 meV per atom
Energy of formation from the pure elements: -0.313 eV/atom
Fermi-level density of states: 8.69 states/eV/f.u.



[16]
Material: YTl2AgCl6
Method: DFT, PBE
State: relaxed

Cell: 7.384 7.706 12.674 Å, 90.00 125.07 90.00°
Space group P2_1/c (No. 14)
Inequivalent atoms, fractional coordinates:
Y1 0.000 0.000 0.000 (multiplicity 2)
Tl1 0.272 0.067 0.752 (multiplicity 4)
Ag1 0.500 0.000 0.500 (multiplicity 2)
Cl1 0.159 0.020 0.249 (multiplicity 4)
Cl2 0.234 0.714 0.044 (multiplicity 4)
Cl3 0.335 0.192 0.044 (multiplicity 4)

ΔE_f (raw): -32.9 kcal/mol of atoms
Fermi-level density of states: 0.00 states/eV/f.u.



[17]
Material: MnIrSeN2
Method: DFT, PBE
State: relaxed

Cell: 3.707 3.707 8.295 Å, 90.00 90.00 90.00°
Space group P4/mmm (No. 123)
Inequivalent atoms, fractional coordinates:
Mn1 0.000 0.000 0.000 (multiplicity 1)
Ir1 0.500 0.500 0.500 (multiplicity 1)
Se1 0.500 0.500 0.000 (multiplicity 1)
N1 0.000 0.500 0.500 (multiplicity 2)

ΔE_f (raw): 16.4 kcal/mol of atoms
Offset from the most stable computed form: 0.0 meV per atom
Fermi-level density of states: 2.41 states/eV/f.u.



[18]
Material: AcPr2Mn
Method: DFT, PBE
State: relaxed

Cell: 3.6326 3.6326 36.2038 Å, 90.00 90.00 120.00°
Space group R-3m (No. 166, hexagonal axes)
Inequivalent atoms, fractional coordinates:
Ac1 0.0000 0.0000 0.0000 (multiplicity 3)
Pr1 0.0000 0.0000 0.4195 (multiplicity 6)
Mn1 0.0000 0.0000 0.5000 (multiplicity 3)

Offset from the most stable computed form: 410.2 meV per atom
Energy of formation from the pure elements: 0.604 eV/atom
Fermi-level density of states: 4.92 states/eV/f.u.



[19]
Material: ReAgIr2
Method: DFT, PBE
State: relaxed

Cell: 2.7845 2.7845 27.4697 Å, 90.00 90.00 120.00°
Space group R-3m (No. 166, hexagonal axes)
Inequivalent atoms, fractional coordinates:
Re1 0.0000 0.0000 0.0000 (multiplicity 3)
Ag1 0.0000 0.0000 0.5000 (multiplicity 3)
Ir1 0.0000 0.0000 0.2556 (multiplicity 6)

Offset from the most stable computed form: 42.3 meV per atom
Energy of formation from the pure elements: 0.076 eV/atom
Fermi-level density of states: 6.41 states/eV/f.u.



[20]
Material: Sm3Al2Si3
Method: DFT, PBE
State: relaxed

Cell: 4.188 11.169 14.490 Å, 90.00 90.00 90.00°
Space group Cmcm (No. 63)
Inequivalent atoms, fractional coordinates:
Sm1 0.000 0.065 0.115 (multiplicity 8)
Sm2 0.000 0.359 0.250 (multiplicity 4)
Al1 0.000 0.222 0.597 (multiplicity 8)
Si1 0.000 0.351 0.750 (multiplicity 4)
Si2 0.000 0.388 0.039 (multiplicity 8)

ΔE_f (raw): -14.1 kcal/mol of atoms
Offset from the most stable computed form: 0.0 meV per atom
Fermi-level density of states: 6.48 states/eV/f.u.



[21]
Material: Zr3AlNi2
Method: DFT, PBE
State: relaxed

Cell: 5.6290 5.6290 8.2324 Å, 90.00 90.00 120.00°
Space group P6_3/mmc (No. 194)
Inequivalent atoms, fractional coordinates:
Zr1 0.1736 0.3471 0.2500 (multiplicity 6)
Al1 0.0000 0.0000 0.0000 (multiplicity 2)
Ni1 0.3333 0.6667 0.5828 (multiplicity 4)

Offset from the most stable computed form: 605.0 meV per atom
Energy of formation from the pure elements: 0.358 eV/atom
Fermi-level density of states: 4.77 states/eV/f.u.



[22]
Material: Hf2NpSe6
Method: DFT, PBE
State: relaxed

Cell: 17.820 3.868 8.298 Å, 90.00 107.96 90.00°
Space group C2/m (No. 12)
Inequivalent atoms, fractional coordinates:
Hf1 0.171 0.000 0.342 (multiplicity 4)
Np1 0.000 0.500 0.000 (multiplicity 2)
Se1 0.012 0.000 0.251 (multiplicity 4)
Se2 0.167 0.500 0.113 (multiplicity 4)
Se3 0.172 0.500 0.571 (multiplicity 4)

ΔE_f (raw): -28.3 kcal/mol of atoms
Offset from the most stable computed form: 0.0 meV per atom
Fermi-level density of states: 8.38 states/eV/f.u.



[23]
Material: ZnRh4
Method: DFT, PBE
State: relaxed

Cell: 6.066 6.066 3.832 Å, 90.00 90.00 90.00°
Space group I4/m (No. 87)
Inequivalent atoms, fractional coordinates:
Zn1 0.000 0.000 0.000 (multiplicity 2)
Rh1 0.103 0.302 0.500 (multiplicity 8)

Offset from the most stable computed form: 0.0 meV per atom
Energy of formation from the pure elements: -0.127 eV/atom
Fermi-level density of states: 5.02 states/eV/f.u.



[24]
Material: KCu2Ir
Method: DFT, PBE
State: relaxed

Cell: 3.894 3.894 8.957 Å, 90.00 90.00 90.00°
Space group I-4m2 (No. 119)
Inequivalent atoms, fractional coordinates:
K1 0.000 0.000 0.000 (multiplicity 2)
Cu1 0.000 0.000 0.500 (multiplicity 2)
Cu2 0.000 0.500 0.750 (multiplicity 2)
Ir1 0.000 0.500 0.250 (multiplicity 2)

Offset from the most stable computed form: 611.1 meV per atom
Energy of formation from the pure elements: 0.942 eV/atom
Fermi-level density of states: 2.09 states/eV/f.u.



[25]
Material: PuAg2AsO6
Method: DFT, PBE
State: relaxed

Cell: 5.537 5.537 4.358 Å, 90.00 90.00 90.00°
Space group P4mm (No. 99)
Inequivalent atoms, fractional coordinates:
Pu1 0.000 0.000 0.000 (multiplicity 1)
Ag1 0.000 0.500 0.449 (multiplicity 2)
As1 0.500 0.500 0.929 (multiplicity 1)
O1 0.000 0.000 0.508 (multiplicity 1)
O2 0.271 0.271 0.019 (multiplicity 4)
O3 0.500 0.500 0.536 (multiplicity 1)

ΔE_f (raw): -28.8 kcal/mol of atoms
Fermi-level density of states: 7.82 states/eV/f.u.